Record 1
The following is a DFT calculation (GGA-PBE) of Li2HoPb after structural relaxation.

abc: 4.4196 4.4196 4.8818
angles: 90.00 90.00 90.00
Last column: nearest neighbours and their distance in Å.
Sites, in units of the cell vectors:
1 Li 0.0000 0.5000 0.0000  4 Li 3.13, 4 Ho 3.29, 4 Pb 3.29
2 Li 0.5000 0.0000 0.0000  4 Li 3.13, 4 Ho 3.29, 4 Pb 3.29
3 Ho 0.0000 0.0000 0.5000  4 Pb 3.13, 8 Li 3.29
4 Pb 0.5000 0.5000 0.5000  4 Ho 3.13, 8 Li 3.29

Results
Magnetization = 0.0 Bohr magnetons per cell
Final energy = -3.28 eV per atom
DOS at the Fermi energy = 2.13 states/eV per cell
DFT formation energy = -0.25 eV per atom
Space group = P4/mmm

***

Record 2
The following is a DFT calculation (GGA-PBE) of SrTlTeO6 after structural relaxation.

abc: 5.5998 5.5998 5.3225
angles: 90.00 90.00 120.00
Last column: nearest neighbours and their distance in Å.
Sites, in units of the cell vectors:
1 Sr 0.0000 0.0000 0.0000  6 O 2.58
2 Tl 0.3333 0.6667 0.5000  6 O 2.26
3 Te 0.6667 0.3333 0.5000  6 O 1.96
4 O 0.3896 0.0412 0.7127  1 Te 1.96
5 O 0.3896 0.3484 0.2873  1 Te 1.96
6 O 0.6516 0.0412 0.2873  1 Te 1.96
7 O 0.6516 0.6104 0.7127  1 Te 1.96
8 O 0.9588 0.3484 0.7127  1 Te 1.96
9 O 0.9588 0.6104 0.2873  1 Te 1.96

Results
Magnetization = 1.1 Bohr magnetons per cell
Final energy = -5.39 eV per atom
Raw formation energy = -1115 kJ/mol of formula units
DOS at the Fermi energy = 5.97 states/eV per cell
Space group = P312

***

Record 3
The following is a DFT calculation (GGA-PBE) of ScP2Rh after structural relaxation.

abc: 3.1533 3.1533 6.4825
angles: 90.00 90.00 104.91
Last column: nearest neighbours and their distance in Å.
Sites, in units of the cell vectors:
1 Sc 0.0000 0.0000 0.0000  4 P 2.61
2 P 0.5000 0.5000 0.2718  2 Rh 2.42, 2 Sc 2.61
3 P 0.5000 0.5000 0.7282  2 Rh 2.42, 2 Sc 2.61
4 Rh 0.0000 0.0000 0.5000  4 P 2.42

Results
Magnetization = 0.0 Bohr magnetons per cell
Final energy = -6.67 eV per atom
DOS at the Fermi energy = 2.96 states/eV per cell
ΔE to the lowest computed polymorph = 372 meV per atom
DFT formation energy = -0.55 eV per atom
Space group = Cmmm

***

Record 4
The following is a DFT calculation (GGA-PBE) of Rb2SeI6N after structural relaxation.

abc: 7.9128 7.9128 7.9128
angles: 119.83 119.83 90.29
Last column: nearest neighbours and their distance in Å.
Sites, in units of the cell vectors:
1 Rb 0.2500 0.7500 0.5000  12 I 3.96-3.97
2 Rb 0.7500 0.2500 0.5000  12 I 3.96-3.97
3 Se 0.0000 0.0000 0.0000  6 I 2.95-2.96
4 I 0.2638 0.2638 0.0000  1 N 2.64, 1 Se 2.95
5 I 0.2636 0.2636 0.5272  1 N 2.65, 1 Se 2.96
6 I 0.2636 0.7364 0.0000  1 N 2.65, 1 Se 2.96
7 I 0.7364 0.2636 0.0000  1 N 2.65, 1 Se 2.96
8 I 0.7362 0.7362 0.0000  1 N 2.64, 1 Se 2.95
9 I 0.7364 0.7364 0.4728  1 N 2.65, 1 Se 2.96
10 N 0.5000 0.5000 0.0000  6 I 2.64-2.65

Results
Magnetization = 0.0 Bohr magnetons per cell
Final energy = -2.48 eV per atom
Raw formation energy = -166 kJ/mol of formula units
DOS at the Fermi energy = 3.73 states/eV per cell
Space group = I4/mmm

***

Question: Which of these has the lowest final energy?
Answer: ScP2Rh

***

Question: What is the DOS at the Fermi energy in the third record?
Answer: 2.96 states/eV per cell

***

Question: Among the records above, which one has the lowest DOS at the Fermi energy?
Answer: Li2HoPb